! Tb2Ce2Ga3 (PBE-GGA, optimized geometry); values from VASP
! space group	No. 12
! energy of formation	-35	kJ per mole of atoms
! energy	-4.679	eV/atom
! energy relative to the lowest polymorph listed for this composition	0.0548	eV/atom
&SYSTEM
  ibrav = 0, nat = 7, ntyp = 3
/
ATOMIC_SPECIES
Ga 69.72 Ga.upf
Tb 158.93 Tb.upf
Ce 140.12 Ce.upf
ATOMIC_POSITIONS crystal
Ga 0.580 0.160 0.451
Tb 0.835 0.670 0.723
Ce 0.119 0.238 0.789
Tb 0.165 0.330 0.277
Ga 0.500 0.000 0.000
Ga 0.420 0.840 0.549
Ce 0.881 0.762 0.211
CELL_PARAMETERS angstrom
4.217 0.000 0.000
-2.109 6.617 0.032
0.000 -3.445 6.511

=====

! NaMg2BiBr8 (PBE-GGA, optimized geometry); values from VASP
! space group	No. 10
! E_form (uncorrected)	-1.186	eV per atom
! energy	-3.000	eV/atom
&SYSTEM
  ibrav = 0, nat = 12, ntyp = 4
/
ATOMIC_SPECIES
Br 79.90 Br.upf
Mg 24.30 Mg.upf
Bi 208.98 Bi.upf
Na 22.99 Na.upf
ATOMIC_POSITIONS crystal
Br 0.824 0.249 0.753
Mg 0.500 0.500 0.264
Br 0.176 0.751 0.247
Mg 0.500 0.500 0.736
Br 0.345 0.281 0.500
Br 0.176 0.751 0.752
Bi 0.000 0.000 0.000
Br 0.347 0.277 0.000
Br 0.824 0.249 0.248
Na 0.000 0.000 0.500
Br 0.653 0.723 0.000
Br 0.655 0.719 0.500
CELL_PARAMETERS angstrom
-0.006 5.739 -3.695
-5.732 1.671 2.539
3.876 3.960 6.144

=====

! NaCeBi2 (PBE-GGA, optimized geometry); values from VASP
! space group	No. 160
! energy of formation	-38	kJ per mole of atoms
! energy	-4.144	eV/atom
! energy relative to the lowest polymorph listed for this composition	0.1244	eV/atom
&SYSTEM
  ibrav = 0, nat = 4, ntyp = 3
/
ATOMIC_SPECIES
Ce 140.12 Ce.upf
Bi 208.98 Bi.upf
Na 22.99 Na.upf
ATOMIC_POSITIONS crystal
Ce 0.670 0.670 0.989
Bi 0.083 0.083 0.750
Na 0.493 0.493 0.521
Bi 0.253 0.253 0.240
CELL_PARAMETERS angstrom
-0.673 -2.824 -3.835
-1.333 -4.583 0.593
-7.198 -0.600 -1.312

=====

! Cs2P2PdPt2 (PBE-GGA, optimized geometry); values from VASP
! space group	No. 12
! energy of formation	-50	kJ per mole of atoms
! energy	-4.774	eV/atom
&SYSTEM
  ibrav = 0, nat = 7, ntyp = 4
/
ATOMIC_SPECIES
Pd 106.42 Pd.upf
Cs 132.91 Cs.upf
P 30.97 P.upf
Pt 195.08 Pt.upf
ATOMIC_POSITIONS crystal
Pd 0.000 0.000 0.000
Cs 0.439 0.780 0.341
P 0.794 0.285 0.127
Pt 0.761 0.588 0.891
Pt 0.239 0.412 0.109
Cs 0.561 0.220 0.659
P 0.206 0.715 0.873
CELL_PARAMETERS angstrom
4.288 0.000 0.000
2.144 6.909 -0.018
2.144 1.441 6.988